Record 1
A plane-wave DFT calculation with PBE was carried out for an optimized crystal structure of Tm8IrPb2.

## Properties
Volume in Å³/atom: 27.61
SG: C2/m, No. 12
Formation energy from the elements in eV per formula unit: -4.06
DFT total energy in eV per atom: -5.101

Cell lengths 9.9742, 9.9742, 6.5851 Å; angles 105.89, 105.89, 28.91 degrees
With the nearest neighbours (Å) after each atom.
Fractional positions:
Tm: 0.0209 0.0209 0.2878  2 Ir 2.94, 1 Tm 3.12, 1 Pb 3.15
Tm: 0.2185 0.2185 0.8291  3 Pb 3.14-3.31, 4 Tm 3.33-3.35
Tm: 0.3567 0.3567 0.4936  1 Ir 2.76
Tm: 0.4126 0.4126 0.0486  1 Ir 2.98
Tm: 0.5874 0.5874 0.9514  1 Ir 2.98
Tm: 0.6433 0.6433 0.5064  1 Ir 2.76
Tm: 0.7815 0.7815 0.1709  3 Pb 3.14-3.31, 4 Tm 3.33-3.35
Tm: 0.9791 0.9791 0.7122  2 Ir 2.94, 1 Tm 3.12, 1 Pb 3.15
Ir: 0.5000 0.5000 0.5000  8 Tm 2.76-2.98
Pb: 0.1814 0.1814 0.2633  9 Tm 3.14-3.41
Pb: 0.8186 0.8186 0.7367  9 Tm 3.14-3.41

Record 2
A plane-wave DFT calculation with PBE was carried out for an optimized crystal structure of Tm12Ir2Pb5.

## Properties
Volume in Å³/atom: 31.24
SG: C2/m, No. 12
Formation energy from the elements in eV per formula unit: -6.75
DFT total energy in eV per atom: -5.088

Cell lengths 9.3260, 9.3260, 9.5744 Å; angles 104.17, 104.17, 47.71 degrees
With the nearest neighbours (Å) after each atom.
Fractional positions:
Tm: 0.0059 0.0059 0.2447  2 Ir 2.79
Tm: 0.0823 0.5985 0.9108  1 Ir 2.64
Tm: 0.0966 0.6174 0.4317  4 Pb 3.06-3.13
Tm: 0.3826 0.9034 0.5683  4 Pb 3.06-3.13
Tm: 0.4015 0.9177 0.0892  1 Ir 2.64
Tm: 0.4943 0.4943 0.1690  2 Ir 2.76
Tm: 0.5057 0.5057 0.8310  2 Ir 2.76
Tm: 0.5985 0.0823 0.9108  1 Ir 2.64
Tm: 0.6174 0.0966 0.4317  4 Pb 3.06-3.13
Tm: 0.9034 0.3826 0.5683  4 Pb 3.06-3.13
Tm: 0.9177 0.4015 0.0892  1 Ir 2.64
Tm: 0.9941 0.9941 0.7553  2 Ir 2.79
Ir: 0.2059 0.7941 0.0000  6 Tm 2.64-2.79
Ir: 0.7941 0.2059 0.0000  6 Tm 2.64-2.79
Pb: 0.1911 0.1911 0.8398  7 Tm 3.09-3.24
Pb: 0.2086 0.2086 0.3650  7 Tm 3.08-3.34
Pb: 0.5000 0.5000 0.5000  6 Tm 3.06-3.14
Pb: 0.7914 0.7914 0.6350  7 Tm 3.08-3.34
Pb: 0.8089 0.8089 0.1602  7 Tm 3.09-3.24

Record 3
A plane-wave DFT calculation with PBE was carried out for an optimized crystal structure of Tm5IrPb.

## Properties
Volume in Å³/atom: 28.54
SG: C2/c, No. 15
Formation energy from the elements in eV per formula unit: -2.11
DFT total energy in eV per atom: -5.291

Cell lengths 6.4773, 6.4773, 11.2510 Å; angles 106.19, 106.19, 63.63 degrees
With the nearest neighbours (Å) after each atom.
Fractional positions:
Tm: 0.0259 0.9741 0.7500  2 Ir 2.82
Tm: 0.0354 0.4005 0.6387  1 Ir 2.70
Tm: 0.2107 0.5406 0.9564  1 Ir 2.63
Tm: 0.4005 0.0354 0.1387  1 Ir 2.70
Tm: 0.4594 0.7893 0.5436  1 Ir 2.63
Tm: 0.5406 0.2107 0.4564  1 Ir 2.63
Tm: 0.5995 0.9646 0.8613  1 Ir 2.70
Tm: 0.7893 0.4594 0.0436  1 Ir 2.63
Tm: 0.9646 0.5995 0.3613  1 Ir 2.70
Tm: 0.9741 0.0259 0.2500  2 Ir 2.82
Ir: 0.0000 0.0000 0.0000  6 Tm 2.63-2.82
Ir: 0.0000 0.0000 0.5000  6 Tm 2.63-2.82
Pb: 0.4695 0.5305 0.2500  10 Tm 3.26-3.62
Pb: 0.5305 0.4695 0.7500  10 Tm 3.26-3.62

Record 4
A plane-wave DFT calculation with PBE was carried out for an optimized crystal structure of Tm2IrPb.

## Properties
Volume in Å³/atom: 26.84
Distance to the lowest polymorph of the same formula in eV/atom: 0.137
SG: R-3m, No. 166
Formation energy from the elements in eV per formula unit: -2.29
DFT total energy in eV per atom: -5.950

Cell lengths 3.8414, 3.8414, 25.2079 Å; angles 90.00, 90.00, 120.00 degrees
With the nearest neighbours (Å) after each atom.
Fractional positions:
Tm: 0.0000 0.0000 0.2296  3 Ir 2.73
Tm: 0.0000 0.0000 0.7704  3 Ir 2.73
Tm: 0.3333 0.6667 0.4371  3 Ir 2.73
Tm: 0.3333 0.6667 0.8962  3 Ir 2.73
Tm: 0.6667 0.3333 0.1038  3 Ir 2.73
Tm: 0.6667 0.3333 0.5629  3 Ir 2.73
Ir: 0.0000 0.0000 0.5000  6 Tm 2.73
Ir: 0.3333 0.6667 0.1667  6 Tm 2.73
Ir: 0.6667 0.3333 0.8333  6 Tm 2.73
Pb: 0.0000 0.0000 0.0000  6 Tm 3.43
Pb: 0.3333 0.6667 0.6667  6 Tm 3.43
Pb: 0.6667 0.3333 0.3333  6 Tm 3.43

Record 5
A plane-wave DFT calculation with PBE was carried out for an optimized crystal structure of Tm11Ir4Pb9.

## Properties
Volume in Å³/atom: 25.07
SG: Cmmm, No. 65
Formation energy from the elements in eV per formula unit: -13.48
DFT total energy in eV per atom: -5.479

Cell lengths 13.2987, 13.2987, 3.6653 Å; angles 90.00, 90.00, 111.85 degrees
With the nearest neighbours (Å) after each atom.
Fractional positions:
Tm: 0.0000 0.0000 0.0000  8 Pb 3.25, 2 Tm 3.52
Tm: 0.0869 0.4201 0.0000  2 Ir 2.74
Tm: 0.1598 0.8402 0.0000  8 Pb 3.28-3.37, 3 Tm 3.52-3.67
Tm: 0.3140 0.3140 0.0000  4 Ir 2.94
Tm: 0.3733 0.6268 0.0000  4 Ir 2.94
Tm: 0.4201 0.0869 0.0000  2 Ir 2.74
Tm: 0.5799 0.9131 0.0000  2 Ir 2.74
Tm: 0.6268 0.3733 0.0000  4 Ir 2.94
Tm: 0.6860 0.6860 0.0000  4 Ir 2.94
Tm: 0.8402 0.1598 0.0000  8 Pb 3.28-3.37, 3 Tm 3.52-3.67
Tm: 0.9131 0.5799 0.0000  2 Ir 2.74
Ir: 0.2493 0.4518 0.5000  6 Tm 2.74-2.94
Ir: 0.4518 0.2493 0.5000  6 Tm 2.74-2.94
Ir: 0.5482 0.7507 0.5000  6 Tm 2.74-2.94
Ir: 0.7507 0.5482 0.5000  6 Tm 2.74-2.94
Pb: 0.0676 0.2171 0.5000  1 Ir 3.16, 6 Tm 3.19-3.37, 1 Pb 3.29
Pb: 0.1452 0.6307 0.5000  1 Ir 3.17, 6 Tm 3.19-3.43, 1 Pb 3.34
Pb: 0.2171 0.0676 0.5000  1 Ir 3.16, 6 Tm 3.19-3.37, 1 Pb 3.29
Pb: 0.3693 0.8548 0.5000  1 Ir 3.17, 6 Tm 3.19-3.43, 1 Pb 3.34
Pb: 0.5000 0.5000 0.5000  4 Ir 3.15, 8 Tm 3.32-3.34
Pb: 0.6307 0.1452 0.5000  1 Ir 3.17, 6 Tm 3.19-3.43, 1 Pb 3.34
Pb: 0.7829 0.9324 0.5000  1 Ir 3.16, 6 Tm 3.19-3.37, 1 Pb 3.29
Pb: 0.8548 0.3693 0.5000  1 Ir 3.17, 6 Tm 3.19-3.43, 1 Pb 3.34
Pb: 0.9324 0.7829 0.5000  1 Ir 3.16, 6 Tm 3.19-3.37, 1 Pb 3.29

Record 6
A plane-wave DFT calculation with PBE was carried out for an optimized crystal structure of Tm8Ir2Pb.

## Properties
Volume in Å³/atom: 27.10
SG: C2/m, No. 12
Formation energy from the elements in eV per formula unit: -5.30
DFT total energy in eV per atom: -5.682

Cell lengths 7.8251, 7.8251, 5.4312 Å; angles 97.47, 97.47, 112.75 degrees
With the nearest neighbours (Å) after each atom.
Fractional positions:
Tm: 0.0711 0.3336 0.5830  2 Ir 2.82-2.89
Tm: 0.2485 0.7515 0.0000  2 Ir 2.83
Tm: 0.3336 0.0711 0.5830  2 Ir 2.82-2.89
Tm: 0.3916 0.3916 0.2043  2 Ir 2.97, 2 Tm 3.23-3.32, 1 Pb 3.31
Tm: 0.6084 0.6084 0.7957  2 Ir 2.97, 2 Tm 3.23-3.32, 1 Pb 3.31
Tm: 0.6664 0.9289 0.4170  2 Ir 2.82-2.89
Tm: 0.7515 0.2485 0.0000  2 Ir 2.83
Tm: 0.9289 0.6664 0.4170  2 Ir 2.82-2.89
Ir: 0.3107 0.6893 0.5000  8 Tm 2.82-2.97
Ir: 0.6893 0.3107 0.5000  8 Tm 2.82-2.97
Pb: 0.0000 0.0000 0.0000  8 Tm 3.24-3.60

Record 7
A plane-wave DFT calculation with PBE was carried out for an optimized crystal structure of Tm2IrPb.

## Properties
Volume in Å³/atom: 23.07
Distance to the lowest polymorph of the same formula in eV/atom: 0.206
SG: Fm-3m, No. 225
Formation energy from the elements in eV per formula unit: -2.01
DFT total energy in eV per atom: -5.881

Cell lengths 7.1731, 7.1731, 7.1731 Å; angles 90.00, 90.00, 90.00 degrees
With the nearest neighbours (Å) after each atom.
Fractional positions:
Tm: 0.2500 0.2500 0.2500  4 Pb 3.11, 4 Ir 3.11
Tm: 0.2500 0.2500 0.7500  4 Pb 3.11, 4 Ir 3.11
Tm: 0.2500 0.7500 0.2500  4 Pb 3.11, 4 Ir 3.11
Tm: 0.2500 0.7500 0.7500  4 Pb 3.11, 4 Ir 3.11
Tm: 0.7500 0.2500 0.2500  4 Pb 3.11, 4 Ir 3.11
Tm: 0.7500 0.2500 0.7500  4 Pb 3.11, 4 Ir 3.11
Tm: 0.7500 0.7500 0.2500  4 Pb 3.11, 4 Ir 3.11
Tm: 0.7500 0.7500 0.7500  4 Pb 3.11, 4 Ir 3.11
Ir: 0.0000 0.0000 0.0000  8 Tm 3.11
Ir: 0.0000 0.5000 0.5000  8 Tm 3.11
Ir: 0.5000 0.0000 0.5000  8 Tm 3.11
Ir: 0.5000 0.5000 0.0000  8 Tm 3.11
Pb: 0.0000 0.0000 0.5000  8 Tm 3.11
Pb: 0.0000 0.5000 0.0000  8 Tm 3.11
Pb: 0.5000 0.0000 0.0000  8 Tm 3.11
Pb: 0.5000 0.5000 0.5000  8 Tm 3.11

Record 8
A plane-wave DFT calculation with PBE was carried out for an optimized crystal structure of Tm3Ir2Pb.

## Properties
Volume in Å³/atom: 22.26
SG: P4/mmm, No. 123
Formation energy from the elements in eV per formula unit: -4.66
DFT total energy in eV per atom: -6.584

Cell lengths 3.3421, 3.3421, 11.9560 Å; angles 90.00, 90.00, 90.00 degrees
With the nearest neighbours (Å) after each atom.
Fractional positions:
Tm: 0.0000 0.0000 0.0000  8 Ir 2.96
Tm: 0.0000 0.0000 0.2880  4 Ir 2.89
Tm: 0.0000 0.0000 0.7120  4 Ir 2.89
Ir: 0.5000 0.5000 0.1495  8 Tm 2.89-2.96
Ir: 0.5000 0.5000 0.8505  8 Tm 2.89-2.96
Pb: 0.5000 0.5000 0.5000  4 Pb 3.34, 8 Tm 3.47